[1]
Entry from the Alexandria database: an optimized crystal structure of Nd4P3O (GGA-PBE).

The calculated density is 6.11 g/cm³. The spin magnetization comes out at 0.00 μB/atom. As for the energy relative to the elements, uncorrected: -1.77 eV per atom. For the total energy, the calculation gives -0.500 Ry per atom.

The structure belongs to space group Cmm2 (No. 35); the cell edges are 8.073, 11.408 and 4.047 Å and the angles 90.00°, 90.00° and 90.00°. The distinct sites, in fractional coordinates, are Nd at (0.000, 0.242, 0.000), Nd at (0.238, 0.000, 0.500), P at (0.000, 0.500, 0.000), P at (0.250, 0.250, 0.500) and O at (0.000, 0.000, 0.001).

---

[2]
Entry from the Alexandria database: an optimized crystal structure of ErBiO3 (GGA-PBE).

The calculated density is 9.56 g/cm³. The spin magnetization comes out at 0.00 μB/atom. As for the energy relative to the elements, uncorrected: -2.35 eV per atom. For the total energy, the calculation gives -0.516 Ry per atom.

The structure belongs to space group P2_1/c (No. 14); the cell edges are 7.232, 5.726 and 7.148 Å and the angles 90.00°, 95.27° and 90.00°. The distinct sites, in fractional coordinates, are Er at (0.110, 0.250, 0.391), Bi at (0.357, 0.749, 0.299), O at (0.149, 0.506, 0.640), O at (0.150, 0.506, 0.139) and O at (0.431, 0.247, 0.889).